Entry 1:
Material: Na2TaNiS4
Method: DFT, GGA-PBE
State: optimized geometry

Properties
Its spin magnetization is 1.00 μB per formula unit. The calculation puts the final energy at -5.45 eV/atom. As for the formation energy without anion corrections: -0.86 eV per atom.

a b c (Å): 6.137 6.137 10.266
angles (deg): 90.00 90.00 90.00
Space group I-4 (No. 82)
Unique sites:
Na1 0.000 0.000 0.000 [2 per cell]
Na2 0.000 0.500 0.250 [2 per cell]
Ta1 0.000 0.000 0.500 [2 per cell]
Ni1 0.000 0.500 0.750 [2 per cell]
S1 0.178 0.749 0.628 [8 per cell]

Entry 2:
Material: TaCoIr3
Method: DFT, GGA-PBE
State: optimized geometry

Properties
Its spin magnetization is 2.49 μB per formula unit. The calculation puts the final energy at -7.97 eV/atom. The offset from the most stable computed form comes out at 0 meV per atom. The energy of formation is 1.1358 eV per atom.

a b c (Å): 4.406 4.406 4.406
angles (deg): 90.00 90.00 90.00
Space group Pm-3m (No. 221)
Unique sites:
Ta1 0.000 0.000 0.000 [1 per cell]
Co1 0.500 0.500 0.500 [1 per cell]
Ir1 0.000 0.500 0.500 [3 per cell]